No. 1
# CdAs2SeS

CdAs2SeS at its PBEsol-relaxed geometry (meta-GGA SCAN, Alexandria via LeMat-Bulk).

N(E_F)	0.76	states/eV/atom
formation energy without anion corrections	636	meV per atom

Unit cell a=4.7355 b=4.7355 c=4.9067 alpha=90.00 beta=90.00 gamma=90.00
Closest atoms and distances in Å follow each position.
Space group P4/mmm (No. 123)
Inequivalent atoms, fractional coordinates:
Cd 0.0000 0.0000 0.0000  4 Se 3.35, 8 As 3.41
As 0.0000 0.5000 0.5000  2 S 2.37
Se 0.5000 0.5000 0.0000  2 S 2.45
S 0.5000 0.5000 0.5000  4 As 2.37, 2 Se 2.45

No. 2
# AgHgPt2

AgHgPt2 at its PBEsol-relaxed geometry (meta-GGA SCAN, Alexandria via LeMat-Bulk).

N(E_F)	0.35	states/eV/atom
energy relative to the elements	0.05	eV/atom

Unit cell a=4.0570 b=4.0570 c=7.9494 alpha=90.00 beta=90.00 gamma=90.00
Closest atoms and distances in Å follow each position.
Space group I4/mmm (No. 139)
Inequivalent atoms, fractional coordinates:
Ag 0.0000 0.0000 0.0000  8 Pt 2.84, 4 Hg 2.87
Hg 0.0000 0.0000 0.5000  8 Pt 2.84, 4 Ag 2.87
Pt 0.0000 0.5000 0.2500  4 Hg 2.84, 4 Ag 2.84, 4 Pt 2.87

No. 3
# TePb2Se

TePb2Se at its PBEsol-relaxed geometry (meta-GGA SCAN, Alexandria via LeMat-Bulk).

energy above the lowest structure with this stoichiometry	0.283	eV/atom
N(E_F)	0.70	states/eV/atom
formation energy without anion corrections	-184	meV per atom

Unit cell a=7.6129 b=7.6129 c=7.6129 alpha=90.00 beta=90.00 gamma=90.00
Closest atoms and distances in Å follow each position.
Space group Fm-3m (No. 225)
Inequivalent atoms, fractional coordinates:
Te 0.0000 0.0000 0.0000  8 Pb 3.30
Pb 0.2500 0.2500 0.2500  4 Se 3.30, 4 Te 3.30
Se 0.0000 0.0000 0.5000  8 Pb 3.30

No. 4
# Tc3Hg

Tc3Hg at its PBEsol-relaxed geometry (meta-GGA SCAN, Alexandria via LeMat-Bulk).

N(E_F)	1.17	states/eV/atom
energy relative to the elements	3.21	eV/atom

Unit cell a=5.1441 b=5.1441 c=5.1441 alpha=90.00 beta=90.00 gamma=90.00
Closest atoms and distances in Å follow each position.
Space group Pm-3m (No. 221)
Inequivalent atoms, fractional coordinates:
Tc 0.0000 0.0000 0.5000  2 Hg 2.57
Hg 0.0000 0.0000 0.0000  6 Tc 2.57

No. 5
# Sn2BPt2

Sn2BPt2 at its PBEsol-relaxed geometry (meta-GGA SCAN, Alexandria via LeMat-Bulk).

N(E_F)	0.50	states/eV/atom
energy relative to the elements	-0.05	eV/atom

Unit cell a=5.4416 b=5.4416 c=6.5876 alpha=90.00 beta=90.00 gamma=90.00
Closest atoms and distances in Å follow each position.
Space group I4/mmm (No. 139)
Inequivalent atoms, fractional coordinates:
Sn 0.0000 0.5000 0.2500  4 Pt 2.74
B 0.0000 0.0000 0.0000  2 Pt 1.93
Pt 0.0000 0.0000 0.2932  1 B 1.93

No. 6
# Nd2Zn6Ge3

Nd2Zn6Ge3 at its PBEsol-relaxed geometry (meta-GGA SCAN, Alexandria via LeMat-Bulk).

N(E_F)	0.12	states/eV/atom
energy relative to the elements	-0.50	eV/atom

Unit cell a=7.5265 b=7.5265 c=4.0355 alpha=90.00 beta=90.00 gamma=120.00
Closest atoms and distances in Å follow each position.
Space group P-62m (No. 189)
Inequivalent atoms, fractional coordinates:
Nd 0.3333 0.6667 0.0000  6 Ge 3.09, 9 Zn 3.19-3.37
Zn 0.0000 0.2860 0.5000  3 Ge 2.49-2.60, 4 Zn 2.77
Zn 0.0000 0.8104 0.0000  2 Zn 2.47, 2 Ge 2.49
Ge 0.0000 0.6165 0.5000  5 Zn 2.49-2.60

No. 7
# FeCuPCl2

FeCuPCl2 at its PBEsol-relaxed geometry (meta-GGA SCAN, Alexandria via LeMat-Bulk).

N(E_F)	0.43	states/eV/atom
formation energy without anion corrections	404	meV per atom

Unit cell a=4.6058 b=4.6058 c=4.2316 alpha=90.00 beta=90.00 gamma=90.00
Closest atoms and distances in Å follow each position.
Space group P4/mmm (No. 123)
Inequivalent atoms, fractional coordinates:
Fe 0.0000 0.0000 0.0000  2 P 2.12, 4 Cl 2.30
Cu 0.5000 0.5000 0.5000  8 Cl 3.13, 4 P 3.26
P 0.0000 0.0000 0.5000  2 Fe 2.12
Cl 0.0000 0.5000 0.0000  2 Fe 2.30

No. 8
# Na2Pt

Na2Pt at its PBEsol-relaxed geometry (meta-GGA SCAN, Alexandria via LeMat-Bulk).

N(E_F)	0.22	states/eV/atom
energy relative to the elements	-0.20	eV/atom

Unit cell a=2.7594 b=16.4892 c=4.9673 alpha=90.00 beta=90.00 gamma=90.00
Closest atoms and distances in Å follow each position.
Space group Cmcm (No. 63)
Inequivalent atoms, fractional coordinates:
Na 0.0000 0.0454 0.2500  4 Na 2.76-2.90, 2 Pt 3.08
Na 0.0000 0.2839 0.7500  6 Na 2.76-3.05, 4 Pt 2.94-3.02
Pt 0.0000 0.3787 0.2500  2 Pt 2.76, 6 Na 2.94-3.08

No. 9
# ReNi2As

ReNi2As at its PBEsol-relaxed geometry (meta-GGA SCAN, Alexandria via LeMat-Bulk).

N(E_F)	0.77	states/eV/atom
energy relative to the elements	0.13	eV/atom

Unit cell a=8.1747 b=2.6903 c=4.6130 alpha=90.00 beta=99.21 gamma=90.00
Closest atoms and distances in Å follow each position.
Space group Cm (No. 8)
Inequivalent atoms, fractional coordinates:
Re 0.0000 0.0000 0.0000  7 Ni 2.55-2.75, 3 As 2.58-2.66, 2 Re 2.69
Ni 0.2458 0.5000 0.2567  5 Ni 2.45-2.69, 2 As 2.49, 3 Re 2.55
Ni 0.4930 0.0000 0.4778  3 As 2.45-2.55, 5 Ni 2.45-2.69, 2 Re 2.59
As 0.2446 0.0000 0.7109  5 Ni 2.45-2.55, 3 Re 2.58-2.66, 2 As 2.69

No. 10
# MgMnRu2

MgMnRu2 at its PBEsol-relaxed geometry (meta-GGA SCAN, Alexandria via LeMat-Bulk).

N(E_F)	0.76	states/eV/atom
energy relative to the elements	0.05	eV/atom

Unit cell a=2.9612 b=4.2321 c=4.4436 alpha=90.00 beta=90.00 gamma=90.00
Closest atoms and distances in Å follow each position.
Space group Pmmm (No. 47)
Inequivalent atoms, fractional coordinates:
Mg 0.0000 0.0000 0.0000  4 Ru 2.58, 4 Mn 2.67
Mn 0.5000 0.0000 0.5000  4 Ru 2.58, 4 Mg 2.67
Ru 0.0000 0.5000 0.5000  4 Mn 2.58, 4 Ru 2.67
Ru 0.5000 0.5000 0.0000  4 Mg 2.58, 4 Ru 2.67

No. 11
# K2AgH2

K2AgH2 at its PBEsol-relaxed geometry (meta-GGA SCAN, Alexandria via LeMat-Bulk).

energy above the lowest structure with this stoichiometry	0.177	eV/atom
N(E_F)	0.19	states/eV/atom

Unit cell a=7.4888 b=7.4888 c=3.3502 alpha=90.00 beta=90.00 gamma=90.00
Closest atoms and distances in Å follow each position.
Space group P4/mbm (No. 127)
Inequivalent atoms, fractional coordinates:
K 0.1480 0.3520 0.0000  6 H 2.65-2.84
Ag 0.0000 0.0000 0.5000  4 H 2.82
H 0.1582 0.6582 0.5000  6 K 2.65-2.84, 2 Ag 2.82

No. 12
# Ba3SnBi

Ba3SnBi at its PBEsol-relaxed geometry (meta-GGA SCAN, Alexandria via LeMat-Bulk).

N(E_F)	0.96	states/eV/atom
energy relative to the elements	-0.39	eV/atom

Unit cell a=6.5367 b=6.5367 c=6.5367 alpha=90.00 beta=90.00 gamma=90.00
Closest atoms and distances in Å follow each position.
Space group Pm-3m (No. 221)
Inequivalent atoms, fractional coordinates:
Ba 0.0000 0.0000 0.5000  2 Bi 3.27
Sn 0.5000 0.5000 0.5000  12 Ba 4.62
Bi 0.0000 0.0000 0.0000  6 Ba 3.27